Entry 1:
Compound: LaTePdW2
Source: the Alexandria database
Functional: GGA-PBE
Structure: optimized geometry

a = 4.992 Å, b = 4.992 Å, c = 5.086 Å
α = 90.00°, β = 90.00°, γ = 90.00°
Space group P4/mmm (No. 123)
One atom of each set of equivalent atoms:
La1 0.000 0.000 0.000 [1 per cell]
Te1 0.500 0.500 0.500 [1 per cell]
Pd1 0.000 0.000 0.500 [1 per cell]
W1 0.000 0.500 0.000 [2 per cell]

DFT total energy, eV per atom: -5.525
Formation energy without anion corrections, eV/atom: 2.31



Entry 2:
Compound: La5ThPd
Source: the Alexandria database
Functional: GGA-PBE
Structure: optimized geometry

a = 13.838 Å, b = 6.871 Å, c = 10.737 Å
α = 90.00°, β = 112.91°, γ = 90.00°
Space group C2/c (No. 15)
One atom of each set of equivalent atoms:
La1 0.000 0.239 0.250 [4 per cell]
La2 0.135 0.490 0.567 [8 per cell]
La3 0.219 0.030 0.111 [8 per cell]
Th1 0.000 0.236 0.750 [4 per cell]
Pd1 0.000 0.000 0.000 [4 per cell]

DFT total energy, eV per atom: -5.379
ΔE_f, eV per atom: -0.06



Entry 3:
Compound: LaTh4Pd15
Source: the Alexandria database
Functional: GGA-PBE
Structure: optimized geometry

a = 4.213 Å, b = 4.213 Å, c = 21.195 Å
α = 90.00°, β = 90.00°, γ = 90.00°
Space group P4/mmm (No. 123)
One atom of each set of equivalent atoms:
La1 0.000 0.000 0.000 [1 per cell]
Th1 0.000 0.000 0.199 [2 per cell]
Th2 0.000 0.000 0.400 [2 per cell]
Pd1 0.000 0.500 0.103 [4 per cell]
Pd2 0.000 0.500 0.301 [4 per cell]
Pd3 0.000 0.500 0.500 [2 per cell]
Pd4 0.500 0.500 0.000 [1 per cell]
Pd5 0.500 0.500 0.203 [2 per cell]
Pd6 0.500 0.500 0.401 [2 per cell]

DFT total energy, eV per atom: -6.538
ΔE_f, eV per atom: -0.91



Entry 4:
Compound: LaThPd4
Source: the Alexandria database
Functional: GGA-PBE
Structure: optimized geometry

a = 7.840 Å, b = 7.840 Å, c = 7.840 Å
α = 90.00°, β = 90.00°, γ = 90.00°
Space group F-43m (No. 216)
One atom of each set of equivalent atoms:
La1 0.000 0.000 0.000 [4 per cell]
Th1 0.250 0.250 0.250 [4 per cell]
Pd1 0.125 0.125 0.625 [16 per cell]

Relative energy among the computed polymorphs, meV per atom: 128
DFT total energy, eV per atom: -6.247
ΔE_f, eV per atom: -0.73



Entry 5:
Compound: LaTh2Pd2
Source: the Alexandria database
Functional: GGA-PBE
Structure: optimized geometry

a = 7.465 Å, b = 7.465 Å, c = 6.287 Å
α = 90.00°, β = 126.33°, γ = 90.00°
Space group C2/m (No. 12)
One atom of each set of equivalent atoms:
La1 0.000 0.000 0.000 [2 per cell]
Th1 0.000 0.250 0.500 [4 per cell]
Pd1 0.132 0.500 0.262 [4 per cell]

DFT total energy, eV per atom: -6.457
ΔE_f, eV per atom: -0.43



Entry 6:
Compound: LaTh2Pd
Source: the Alexandria database
Functional: GGA-PBE
Structure: optimized geometry

a = 3.708 Å, b = 3.708 Å, c = 8.375 Å
α = 90.00°, β = 90.00°, γ = 90.00°
Space group P4/mmm (No. 123)
One atom of each set of equivalent atoms:
La1 0.000 0.000 0.000 [1 per cell]
Th1 0.500 0.500 0.294 [2 per cell]
Pd1 0.000 0.000 0.500 [1 per cell]

Relative energy among the computed polymorphs, meV per atom: 86
DFT total energy, eV per atom: -6.529
ΔE_f, eV per atom: -0.29



Entry 7:
Compound: LaTh3Pd12
Source: the Alexandria database
Functional: GGA-PBE
Structure: optimized geometry

a = 4.218 Å, b = 4.218 Å, c = 16.933 Å
α = 90.00°, β = 90.00°, γ = 90.00°
Space group P4/mmm (No. 123)
One atom of each set of equivalent atoms:
La1 0.000 0.000 0.000 [1 per cell]
Th1 0.000 0.000 0.249 [2 per cell]
Th2 0.000 0.000 0.500 [1 per cell]
Pd1 0.000 0.500 0.128 [4 per cell]
Pd2 0.000 0.500 0.376 [4 per cell]
Pd3 0.500 0.500 0.000 [1 per cell]
Pd4 0.500 0.500 0.253 [2 per cell]
Pd5 0.500 0.500 0.500 [1 per cell]

DFT total energy, eV per atom: -6.510
ΔE_f, eV per atom: -0.92



Entry 8:
Compound: LaTh2Pd7
Source: the Alexandria database
Functional: GGA-PBE
Structure: optimized geometry

a = 7.253 Å, b = 15.192 Å, c = 4.475 Å
α = 90.00°, β = 90.00°, γ = 90.00°
Space group Cmmm (No. 65)
One atom of each set of equivalent atoms:
La1 0.000 0.000 0.000 [2 per cell]
Th1 0.000 0.307 0.500 [4 per cell]
Pd1 0.000 0.193 0.000 [4 per cell]
Pd2 0.000 0.500 0.500 [2 per cell]
Pd3 0.185 0.102 0.500 [8 per cell]

Relative energy among the computed polymorphs, meV per atom: 271
DFT total energy, eV per atom: -6.021
ΔE_f, eV per atom: -0.41



Entry 9:
Compound: La3ThPd12
Source: the Alexandria database
Functional: GGA-PBE
Structure: optimized geometry

a = 4.231 Å, b = 4.231 Å, c = 16.868 Å
α = 90.00°, β = 90.00°, γ = 90.00°
Space group P4/mmm (No. 123)
One atom of each set of equivalent atoms:
La1 0.000 0.000 0.000 [1 per cell]
La2 0.000 0.000 0.249 [2 per cell]
Th1 0.000 0.000 0.500 [1 per cell]
Pd1 0.000 0.500 0.126 [4 per cell]
Pd2 0.000 0.500 0.378 [4 per cell]
Pd3 0.500 0.500 0.000 [1 per cell]
Pd4 0.500 0.500 0.252 [2 per cell]
Pd5 0.500 0.500 0.500 [1 per cell]

DFT total energy, eV per atom: -6.137
ΔE_f, eV per atom: -0.85



Entry 10:
Compound: LaThPd3
Source: the Alexandria database
Functional: GGA-PBE
Structure: optimized geometry

a = 4.451 Å, b = 5.963 Å, c = 9.013 Å
α = 90.00°, β = 90.00°, γ = 90.00°
Space group Pmmn (No. 59, origin choice 2)
One atom of each set of equivalent atoms:
La1 0.250 0.250 0.106 [2 per cell]
Th1 0.250 0.750 0.446 [2 per cell]
Pd1 0.250 0.013 0.720 [4 per cell]
Pd2 0.250 0.750 0.130 [2 per cell]

Relative energy among the computed polymorphs, meV per atom: 51
DFT total energy, eV per atom: -6.349
ΔE_f, eV per atom: -0.76



Entry 11:
Compound: La2ThPd9
Source: the Alexandria database
Functional: GGA-PBE
Structure: optimized geometry

a = 4.221 Å, b = 4.221 Å, c = 12.708 Å
α = 90.00°, β = 90.00°, γ = 90.00°
Space group P4/mmm (No. 123)
One atom of each set of equivalent atoms:
La1 0.000 0.000 0.166 [2 per cell]
Th1 0.000 0.000 0.500 [1 per cell]
Pd1 0.000 0.500 0.000 [2 per cell]
Pd2 0.000 0.500 0.338 [4 per cell]
Pd3 0.500 0.500 0.169 [2 per cell]
Pd4 0.500 0.500 0.500 [1 per cell]

DFT total energy, eV per atom: -6.205
ΔE_f, eV per atom: -0.87



Entry 12:
Compound: LaTh2Pd
Source: the Alexandria database
Functional: GGA-PBE
Structure: optimized geometry

a = 3.7618 Å, b = 3.7618 Å, c = 29.9053 Å
α = 90.00°, β = 90.00°, γ = 120.00°
Space group R3m (No. 160, hexagonal axes)
One atom of each set of equivalent atoms:
La1 0.0000 0.0000 0.0000 [3 per cell]
Th1 0.0000 0.0000 0.2330 [3 per cell]
Th2 0.0000 0.0000 0.4311 [3 per cell]
Pd1 0.0000 0.0000 0.8307 [3 per cell]

Relative energy among the computed polymorphs, meV per atom: 190
DFT total energy, eV per atom: -6.425
ΔE_f, eV per atom: -0.18



Entry 13:
Compound: La2ThPd
Source: the Alexandria database
Functional: GGA-PBE
Structure: optimized geometry

a = 3.686 Å, b = 3.686 Å, c = 8.520 Å
α = 90.00°, β = 90.00°, γ = 90.00°
Space group P4/mmm (No. 123)
One atom of each set of equivalent atoms:
La1 0.000 0.000 0.214 [2 per cell]
Th1 0.500 0.500 0.500 [1 per cell]
Pd1 0.500 0.500 0.000 [1 per cell]

Relative energy among the computed polymorphs, meV per atom: 0
DFT total energy, eV per atom: -5.967
ΔE_f, eV per atom: -0.35



Entry 14:
Compound: LaThPd4
Source: the Alexandria database
Functional: GGA-PBE
Structure: optimized geometry

a = 4.251 Å, b = 20.633 Å, c = 5.890 Å
α = 90.00°, β = 90.00°, γ = 90.00°
Space group Cmcm (No. 63)
One atom of each set of equivalent atoms:
La1 0.000 0.221 0.250 [4 per cell]
Th1 0.000 0.077 0.750 [4 per cell]
Pd1 0.000 0.070 0.250 [4 per cell]
Pd2 0.000 0.357 0.510 [8 per cell]
Pd3 0.000 0.500 0.000 [4 per cell]

Relative energy among the computed polymorphs, meV per atom: 0
DFT total energy, eV per atom: -6.375
ΔE_f, eV per atom: -0.86



Entry 15:
Compound: La2ThPd
Source: the Alexandria database
Functional: GGA-PBE
Structure: optimized geometry

a = 3.6448 Å, b = 3.6448 Å, c = 33.0703 Å
α = 90.00°, β = 90.00°, γ = 120.00°
Space group R-3m (No. 166, hexagonal axes)
One atom of each set of equivalent atoms:
La1 0.0000 0.0000 0.1040 [6 per cell]
Th1 0.0000 0.0000 0.0000 [3 per cell]
Pd1 0.0000 0.0000 0.5000 [3 per cell]

Relative energy among the computed polymorphs, meV per atom: 322
DFT total energy, eV per atom: -5.646
ΔE_f, eV per atom: -0.03



Entry 16:
Compound: LaTh2Pd7
Source: the Alexandria database
Functional: GGA-PBE
Structure: optimized geometry

a = 5.842 Å, b = 8.707 Å, c = 17.126 Å
α = 90.00°, β = 90.00°, γ = 90.00°
Space group Fmmm (No. 69)
One atom of each set of equivalent atoms:
La1 0.000 0.000 0.000 [4 per cell]
Th1 0.000 0.000 0.330 [8 per cell]
Pd1 0.000 0.000 0.500 [4 per cell]
Pd2 0.250 0.250 0.085 [16 per cell]
Pd3 0.250 0.250 0.250 [8 per cell]

Relative energy among the computed polymorphs, meV per atom: 0
DFT total energy, eV per atom: -6.292
ΔE_f, eV per atom: -0.68



Entry 17:
Compound: LaThPd6
Source: the Alexandria database
Functional: GGA-PBE
Structure: optimized geometry

a = 4.221 Å, b = 4.221 Å, c = 8.447 Å
α = 90.00°, β = 90.00°, γ = 90.00°
Space group P4/mmm (No. 123)
One atom of each set of equivalent atoms:
La1 0.000 0.000 0.000 [1 per cell]
Th1 0.000 0.000 0.500 [1 per cell]
Pd1 0.000 0.500 0.255 [4 per cell]
Pd2 0.500 0.500 0.000 [1 per cell]
Pd3 0.500 0.500 0.500 [1 per cell]

DFT total energy, eV per atom: -6.350
ΔE_f, eV per atom: -0.91



Entry 18:
Compound: La2ThPd
Source: the Alexandria database
Functional: GGA-PBE
Structure: optimized geometry

a = 3.8437 Å, b = 3.8437 Å, c = 29.5157 Å
α = 90.00°, β = 90.00°, γ = 120.00°
Space group R3m (No. 160, hexagonal axes)
One atom of each set of equivalent atoms:
La1 0.0000 0.0000 0.0000 [3 per cell]
La2 0.0000 0.0000 0.1996 [3 per cell]
Th1 0.0000 0.0000 0.7671 [3 per cell]
Pd1 0.0000 0.0000 0.5993 [3 per cell]

Relative energy among the computed polymorphs, meV per atom: 132
DFT total energy, eV per atom: -5.835
ΔE_f, eV per atom: -0.22



Entry 19:
Compound: La2Th2Pd15
Source: the Alexandria database
Functional: GGA-PBE
Structure: optimized geometry

a = 9.3655 Å, b = 9.3655 Å, c = 14.3362 Å
α = 90.00°, β = 90.00°, γ = 120.00°
Space group R-3m (No. 166, hexagonal axes)
One atom of each set of equivalent atoms:
La1 0.0000 0.0000 0.1365 [6 per cell]
Th1 0.0000 0.0000 0.3886 [6 per cell]
Pd1 0.0000 0.3085 0.5000 [18 per cell]
Pd2 0.0000 0.5000 0.0000 [9 per cell]
Pd3 0.0051 0.5025 0.6551 [18 per cell]

DFT total energy, eV per atom: -6.008
ΔE_f, eV per atom: -0.61



Entry 20:
Compound: LaTh2Pd
Source: the Alexandria database
Functional: GGA-PBE
Structure: optimized geometry

a = 3.5621 Å, b = 3.5621 Å, c = 33.2199 Å
α = 90.00°, β = 90.00°, γ = 120.00°
Space group R-3m (No. 166, hexagonal axes)
One atom of each set of equivalent atoms:
La1 0.0000 0.0000 0.0000 [3 per cell]
Th1 0.0000 0.0000 0.1016 [6 per cell]
Pd1 0.0000 0.0000 0.5000 [3 per cell]

Relative energy among the computed polymorphs, meV per atom: 362
DFT total energy, eV per atom: -6.253
ΔE_f, eV per atom: -0.01